Crystalline LiNi2 at its relaxed geometry. Source: Alexandria, functional GGA-PBE.

Cell lengths 4.708, 4.708, 15.439 Å; angles 90.00, 90.00, 120.00 degrees
Atoms (fractional coordinates):
Ni: 0.836 0.672 0.250
Ni: 0.672 0.836 0.750
Ni: 0.667 0.333 0.375
Ni: 0.500 0.500 0.000
Ni: 0.000 0.500 0.500
Li: 0.000 0.000 0.592
Ni: 0.164 0.328 0.750
Ni: 0.500 0.000 0.500
Ni: 0.500 0.500 0.500
Li: 0.000 0.000 0.092
Li: 0.000 0.000 0.908
Li: 0.333 0.667 0.344
Li: 0.333 0.667 0.156
Ni: 0.000 0.500 0.000
Ni: 0.333 0.667 0.625
Ni: 0.333 0.667 0.875
Li: 0.667 0.333 0.844
Li: 0.667 0.333 0.656
Ni: 0.164 0.836 0.750
Ni: 0.500 0.000 0.000
Ni: 0.328 0.164 0.250
Li: 0.000 0.000 0.408
Ni: 0.667 0.333 0.125
Ni: 0.836 0.164 0.250

Output
- crystal system = hexagonal
- DOS at the Fermi energy (states/eV/atom) = 0.934
- energy of formation from the pure elements (eV per atom) = -0.014